HfHRh3 after structural relaxation, computed with PBE.

Unit cell a=7.670 b=7.670 c=4.561 alpha=90.00 beta=90.00 gamma=141.30
Atoms (fractional coordinates):
Rh 0.134 0.401 0.750
Rh 0.401 0.134 0.250
Rh 0.599 0.866 0.750
Rh 0.000 0.000 0.000
Rh 0.000 0.000 0.500
Rh 0.866 0.599 0.250
H 0.664 0.336 0.750
H 0.336 0.664 0.250
Hf 0.806 0.194 0.250
Hf 0.194 0.806 0.750

## Properties
* space-group type: Cmcm, No. 63
* total magnetization: 0.000 μB per atom

GeAsS2N after structural relaxation, computed with PBE.

Unit cell a=4.898 b=4.898 c=3.622 alpha=90.00 beta=90.00 gamma=90.00
Atoms (fractional coordinates):
S 0.500 0.000 0.000
S 0.000 0.500 0.000
N 0.000 0.000 0.500
As 0.000 0.000 0.000
Ge 0.500 0.500 0.500

## Properties
* space-group type: P4/mmm, No. 123
* total magnetization: 0.000 μB per atom

V2MoPt2 after structural relaxation, computed with PBE.

Unit cell a=4.902 b=6.402 c=4.902 alpha=46.83 beta=45.73 gamma=46.83
Atoms (fractional coordinates):
V 0.211 0.873 0.211
V 0.789 0.127 0.789
Mo 0.000 0.500 0.000
Pt 0.591 0.710 0.591
Pt 0.409 0.290 0.409

## Properties
* space-group type: C2/m, No. 12
* total magnetization: 0.000 μB per atom

no.,electronic total energy (eV/atom)
1,-6.794
2,-4.400
3,-8.569